No. 1
A relaxed Re2OsRh crystal, computed with PBE.

## Properties
Volume in Å³ per cell: 60
Density in g/cm³: 18.57
ΔH_f (0 K) in eV/atom: 0.361
Total DFT energy (no corrections) in eV/atom: -10.508
Fermi-level density of states in states/eV/f.u.: 3.45

The structure in POSCAR format:
```
Re2OsRh
1.0
3.259 0.000 0.000
0.000 3.259 0.000
0.000 0.000 5.603
Re Os Rh
2 1 1
direct
0.000 0.000 0.000
0.500 0.500 0.265
0.500 0.500 0.746
0.000 0.000 0.504
```


No. 2
A relaxed PBr crystal, computed with PBE.

## Properties
Volume in Å³ per cell: 212
Formation energy without anion corrections in kJ/mol of atoms: 58.3
Density in g/cm³: 3.47
Total DFT energy (no corrections) in eV/atom: -2.937
Fermi-level density of states in states/eV/f.u.: 0.99

The structure in POSCAR format:
```
PBr
1.0
3.234 0.000 0.000
0.000 10.791 0.000
0.000 0.000 6.083
P Br
4 4
direct
0.000 0.124 0.250
0.000 0.876 0.750
0.500 0.376 0.750
0.500 0.624 0.250
0.000 0.323 0.250
0.000 0.677 0.750
0.500 0.177 0.750
0.500 0.823 0.250
```


No. 3
A relaxed MgZr2Te crystal, computed with PBE.

## Properties
Volume in Å³ per cell: 92
Formation energy without anion corrections in kJ/mol of atoms: -28.7
Density in g/cm³: 6.05
Total DFT energy (no corrections) in eV/atom: -5.755
Fermi-level density of states in states/eV/f.u.: 4.34

The structure in POSCAR format:
```
MgZr2Te
1.0
3.818 0.000 0.000
0.000 3.818 0.000
0.000 0.000 6.296
Mg Zr Te
1 2 1
direct
0.000 0.000 0.000
0.000 0.000 0.515
0.500 0.500 0.756
0.500 0.500 0.267
```